! PBE with a Hubbard U TmSc2WO8, relaxed; values from VASP
! **Volume**: 12.851 A^3/atom
! **DFT total energy**: -8.175 eV per atom
! **Space group**: No. 65
&SYSTEM
  ibrav = 0, nat = 12, ntyp = 4
/
ATOMIC_SPECIES
Tm 168.93 Tm.upf
Sc 44.96 Sc.upf
W 183.84 W.upf
O 16.00 O.upf
CELL_PARAMETERS angstrom
4.8605 -0.0331 -0.0029
-0.0067 4.8608 -0.0054
0.0039 0.0071 6.5272
ATOMIC_POSITIONS angstrom
Tm 0.0020 0.0036 3.2636
Sc 2.4298 2.4192 4.8752
Sc 2.4279 2.4157 1.6437
W 0.0000 0.0000 0.0000
O 0.9276 3.9220 1.4217
O 3.4600 3.4437 -0.0059
O 3.9280 0.9089 1.4232
O 3.9302 0.9128 5.0972
O 1.3977 1.3912 6.5248
O 0.9297 3.9259 5.0958
O 3.3253 3.3114 3.2580
O 1.5324 1.5234 3.2610